1.
Below is a geometry-optimized TlW2Se structure, with properties calculated at the GGA-PBE level.

The distance to the lowest polymorph of the same formula comes out at 0.654 eV per atom. The value obtained for the total energy is -110.200 eV per cell.

The structure belongs to space group F-43m (No. 216); the cell edges are 6.658, 6.658 and 6.658 Å and the angles 90.00°, 90.00° and 90.00°. The inequivalent atoms are Tl at (0.000, 0.000, 0.000), W at (0.000, 0.000, 0.500), W at (0.250, 0.250, 0.250) and Se at (0.250, 0.250, 0.750).

=====

2.
Below is a geometry-optimized Y2Tl2Se structure, with properties calculated at the GGA-PBE level.

The value obtained for the total energy is -49.897 eV per cell.

The structure belongs to space group P4/mbm (No. 127); the cell edges are 7.526, 7.526 and 5.039 Å and the angles 90.00°, 90.00° and 90.00°. The inequivalent atoms are Y at (0.167, 0.333, 0.000), Tl at (0.146, 0.646, 0.500) and Se at (0.000, 0.000, 0.000).

=====

3.
Below is a geometry-optimized YTlSe structure, with properties calculated at the GGA-PBE level.

The distance to the lowest polymorph of the same formula comes out at 0.168 eV per atom. The value obtained for the total energy is -14.535 eV per cell.

The structure belongs to space group P3m1 (No. 156); the cell edges are 4.0092, 4.0092 and 6.6237 Å and the angles 90.00°, 90.00° and 120.00°. The inequivalent atoms are Y at (0.0000, 0.0000, 0.0000), Tl at (0.3333, 0.6667, 0.6441) and Se at (0.6667, 0.3333, 0.2288).

=====

4.
Below is a geometry-optimized Y3TlSe4 structure, with properties calculated at the GGA-PBE level.

The value obtained for the total energy is -96.578 eV per cell.

The structure belongs to space group P6_3/mmc (No. 194); the cell edges are 4.1258, 4.1258 and 29.0236 Å and the angles 90.00°, 90.00° and 120.00°. The inequivalent atoms are Y at (0.0000, 0.0000, 0.0000), Y at (0.3333, 0.6667, 0.1144), Tl at (0.3333, 0.6667, 0.7500), Se at (0.0000, 0.0000, 0.1697) and Se at (0.3333, 0.6667, 0.5573).